# 1
{"formula": "NaMo2Pt", "functional": "PBE-GGA", "state": "relaxed", "lattice": [[2.8285, 0.0000, 0.0000], [1.1763, 4.9702, 0.0000], [0.2796, 2.2779, 10.1754]], "species": ["Na", "Na", "Mo", "Mo", "Mo", "Mo", "Pt", "Pt"], "fractional_positions": [[0.1281, 0.2797, 0.4287], [0.8719, 0.7203, 0.5713], [0.0859, 0.2757, 0.9247], [0.2636, 0.7591, 0.8502], [0.7364, 0.2409, 0.1498], [0.9141, 0.7243, 0.0753], [0.3724, 0.8086, 0.2887], [0.6276, 0.1914, 0.7113]], "e_above_lowest_polymorph_ev_per_atom": 0.066, "delta_e_f_ev_per_atom": 0.084}


# 2
{"formula": "Na2MoPt", "functional": "PBE-GGA", "state": "relaxed", "lattice": [[8.9633, 0.0000, 0.0000], [0.0000, 8.9633, 0.0000], [0.0000, 0.0000, 5.0184]], "species": ["Na", "Na", "Na", "Na", "Na", "Na", "Na", "Na", "Mo", "Mo", "Mo", "Mo", "Pt", "Pt", "Pt", "Pt"], "fractional_positions": [[0.1776, 0.2500, 0.1250], [0.2500, 0.6776, 0.3750], [0.2500, 0.8224, 0.8750], [0.3224, 0.2500, 0.6250], [0.6776, 0.7500, 0.6250], [0.7500, 0.1776, 0.8750], [0.7500, 0.3224, 0.3750], [0.8224, 0.7500, 0.1250], [0.0000, 0.0000, 0.5000], [0.0000, 0.5000, 0.7500], [0.5000, 0.0000, 0.2500], [0.5000, 0.5000, 0.0000], [0.0000, 0.0000, 0.0000], [0.0000, 0.5000, 0.2500], [0.5000, 0.0000, 0.7500], [0.5000, 0.5000, 0.5000]], "e_above_lowest_polymorph_ev_per_atom": 0.000, "delta_e_f_ev_per_atom": 0.897}


# 3
{"formula": "NaMo2Pt", "functional": "PBE-GGA", "state": "relaxed", "lattice": [[9.4160, 0.0000, 0.0000], [0.0000, 4.4502, 0.0000], [-0.3766, 0.0000, 7.1906]], "species": ["Na", "Na", "Na", "Na", "Mo", "Mo", "Mo", "Mo", "Mo", "Mo", "Mo", "Mo", "Pt", "Pt", "Pt", "Pt"], "fractional_positions": [[0.1697, 0.0000, 0.1059], [0.3303, 0.5000, 0.8941], [0.6697, 0.5000, 0.1059], [0.8303, 0.0000, 0.8941], [0.0933, 0.0000, 0.6363], [0.1537, 0.5000, 0.4541], [0.3463, 0.0000, 0.5459], [0.4067, 0.5000, 0.3637], [0.5933, 0.5000, 0.6363], [0.6537, 0.0000, 0.4541], [0.8463, 0.5000, 0.5459], [0.9067, 0.0000, 0.3637], [0.0279, 0.5000, 0.8268], [0.4721, 0.0000, 0.1732], [0.5279, 0.0000, 0.8268], [0.9721, 0.5000, 0.1732]], "e_above_lowest_polymorph_ev_per_atom": 0.155, "delta_e_f_ev_per_atom": 0.173}


E_tot / eV/cell: -57.38; -63.69; -113.33
D(E_F) / states/eV per cell: 5.22; 11.10; 8.30
Total magnetization / μB per atom: 0.000; 0.895; 0.000